[1]
Entry from Alexandria via LeMat-Bulk: an optimized crystal structure of Cs2KPS (PBE).

The structure in POSCAR format:
```
Cs2KPS
1.0
-3.7333 -0.4323 -6.1487
4.0122 -0.4578 -2.4039
-0.3778 -7.1590 0.7327
S Cs K P
1 2 1 1
Cartesian
2.0061 -0.2289 -1.2019 S
-0.1889 -3.5795 0.3664 Cs
-1.8666 -0.2161 -3.0743 Cs
-0.0494 -4.0245 -3.9099 K
0.0000 0.0000 0.0000 P
```

Summary:
E_tot   -2.52 eV per atom
Formation energy from raw total energies   -0.2 eV/f.u.
SG   P4/mmm, No. 123
Magnetic moment   0.00 μB/f.u.

---

[2]
Entry from Alexandria via LeMat-Bulk: an optimized crystal structure of CsKP2S (PBE).

The structure in POSCAR format:
```
CsKP2S
1.0
5.9735 0.0000 0.0000
0.0000 5.9735 0.0000
0.0000 0.0000 5.9827
S P K Cs
1 2 1 1
Cartesian
0.0000 0.0000 2.9913 S
2.9868 0.0000 0.0000 P
0.0000 2.9868 0.0000 P
2.9868 2.9868 2.9913 K
0.0000 0.0000 0.0000 Cs
```

Summary:
E_tot   -2.32 eV per atom
Formation energy from raw total energies   5.3 eV/f.u.
E above lowest polymorph   221.9 meV/atom
SG   P4/mmm, No. 123
Magnetic moment   3.67 μB/f.u.